[1]
DFT (GGA-PBE) results for ZnTeAs2 after structural relaxation.

Computed properties:
As for the formation energy (no corrections): 0.159 eV/f.u. For the energy above the lowest structure with this stoichiometry, the calculation gives 153 meV per atom. For the volume, the calculation gives 23.3 A^3/atom.

abc: 4.651 3.972 5.188
angles: 90.00 103.56 90.00
Atoms (fractional coordinates):
1 Zn 0.000 0.000 0.000
2 Te 0.500 0.000 0.500
3 As 0.275 0.500 0.819
4 As 0.725 0.500 0.181

***

[2]
DFT (GGA-PBE) results for Rb2AlWI6 after structural relaxation.

Computed properties:
As for the formation energy (no corrections): -5.233 eV/f.u. For the volume, the calculation gives 41.9 A^3/atom.

abc: 8.399 8.399 8.399
angles: 60.00 60.00 60.00
Atoms (fractional coordinates):
1 Rb 0.250 0.250 0.250
2 Rb 0.750 0.750 0.750
3 Al 0.000 0.000 0.000
4 W 0.500 0.500 0.500
5 I 0.262 0.262 0.738
6 I 0.262 0.738 0.262
7 I 0.262 0.738 0.738
8 I 0.738 0.262 0.262
9 I 0.738 0.262 0.738
10 I 0.738 0.738 0.262

***

[3]
DFT (GGA-PBE) results for UIO2 after structural relaxation.

Computed properties:
As for the formation energy (no corrections): -8.960 eV/f.u. For the volume, the calculation gives 20.5 A^3/atom.

abc: 7.354 7.354 7.354
angles: 28.84 28.84 28.84
Atoms (fractional coordinates):
1 U 0.000 0.000 0.000
2 I 0.500 0.500 0.500
3 O 0.298 0.298 0.298
4 O 0.702 0.702 0.702

***

[4]
DFT (GGA-PBE) results for HfTi4Se8 after structural relaxation.

Computed properties:
As for the formation energy (no corrections): -15.221 eV/f.u. For the volume, the calculation gives 21.7 A^3/atom.

abc: 7.498 7.498 7.498
angles: 57.60 57.60 57.60
Atoms (fractional coordinates):
1 Hf 0.000 0.000 0.000
2 Ti 0.000 0.000 0.500
3 Ti 0.000 0.500 0.000
4 Ti 0.500 0.000 0.000
5 Ti 0.500 0.500 0.500
6 Se 0.246 0.246 0.246
7 Se 0.254 0.254 0.741
8 Se 0.254 0.741 0.254
9 Se 0.259 0.746 0.746
10 Se 0.741 0.254 0.254
11 Se 0.746 0.259 0.746
12 Se 0.746 0.746 0.259
13 Se 0.754 0.754 0.754

***

[5]
DFT (GGA-PBE) results for In2RuSe after structural relaxation.

Computed properties:
As for the formation energy (no corrections): -0.228 eV/f.u. For the volume, the calculation gives 22.0 A^3/atom.

abc: 6.768 6.768 6.768
angles: 153.55 140.24 48.39
Atoms (fractional coordinates):
1 In 0.000 0.000 0.000
2 In 0.688 0.188 0.500
3 Ru 0.205 0.705 0.500
4 Se 0.363 0.363 0.000

***

[6]
DFT (GGA-PBE) results for BaScIn after structural relaxation.

Computed properties:
For the energy above the lowest structure with this stoichiometry, the calculation gives 243 meV per atom. The calculation puts the formation energy at -0.06 eV/atom. For the volume, the calculation gives 34.1 A^3/atom.

abc: 5.369 5.369 4.101
angles: 90.00 90.00 120.00
Atoms (fractional coordinates):
1 Ba 0.000 0.000 0.000
2 Sc 0.333 0.667 0.500
3 In 0.667 0.333 0.500

***

[7]
DFT (GGA-PBE) results for Ba3Dy3ErTe8 after structural relaxation.

Computed properties:
As for the formation energy (no corrections): -22.903 eV/f.u. For the volume, the calculation gives 37.2 A^3/atom.

abc: 9.530 9.530 9.530
angles: 56.21 56.21 56.21
Atoms (fractional coordinates):
1 Ba 0.000 0.500 0.500
2 Ba 0.500 0.000 0.500
3 Ba 0.500 0.500 0.000
4 Dy 0.000 0.000 0.500
5 Dy 0.000 0.500 0.000
6 Dy 0.500 0.000 0.000
7 Er 0.500 0.500 0.500
8 Te 0.236 0.739 0.739
9 Te 0.239 0.239 0.239
10 Te 0.261 0.261 0.764
11 Te 0.261 0.764 0.261
12 Te 0.739 0.236 0.739
13 Te 0.739 0.739 0.236
14 Te 0.761 0.761 0.761
15 Te 0.764 0.261 0.261

***

[8]
DFT (GGA-PBE) results for Tb4AgRuAu2 after structural relaxation.

Computed properties:
The calculation puts the formation energy at -0.59 eV/atom. For the volume, the calculation gives 22.9 A^3/atom.

abc: 8.713 8.713 8.713
angles: 33.86 33.86 33.86
Atoms (fractional coordinates):
1 Tb 0.118 0.118 0.118
2 Tb 0.369 0.369 0.369
3 Tb 0.631 0.631 0.631
4 Tb 0.882 0.882 0.882
5 Ag 0.500 0.500 0.500
6 Ru 0.000 0.000 0.000
7 Au 0.245 0.245 0.245
8 Au 0.755 0.755 0.755

***

[9]
DFT (GGA-PBE) results for Ho2PBr after structural relaxation.

Computed properties:
As for the formation energy (no corrections): -5.602 eV/f.u. For the volume, the calculation gives 24.3 A^3/atom.

abc: 7.492 7.492 7.492
angles: 30.70 30.70 30.70
Atoms (fractional coordinates):
1 Ho 0.000 0.000 0.000
2 Ho 0.201 0.201 0.201
3 P 0.602 0.602 0.602
4 Br 0.432 0.432 0.432

***

[10]
DFT (GGA-PBE) results for Gd3Ru5N12 after structural relaxation.

Computed properties:
As for the formation energy (no corrections): -2.798 eV/f.u. For the volume, the calculation gives 12.8 A^3/atom.

abc: 10.986 10.986 10.986
angles: 109.47 109.47 109.47
Atoms (fractional coordinates):
1 Gd 0.125 0.250 0.375
2 Gd 0.125 0.375 0.750
3 Gd 0.250 0.375 0.125
4 Gd 0.250 0.875 0.625
5 Gd 0.375 0.125 0.250
6 Gd 0.375 0.750 0.125
7 Gd 0.625 0.250 0.875
8 Gd 0.625 0.875 0.750
9 Gd 0.750 0.125 0.375
10 Gd 0.750 0.625 0.875
11 Gd 0.875 0.625 0.250
12 Gd 0.875 0.750 0.625
13 Ru 0.000 0.000 0.000
14 Ru 0.000 0.000 0.500
15 Ru 0.000 0.500 0.000
16 Ru 0.000 0.500 0.500
17 Ru 0.125 0.750 0.875
18 Ru 0.125 0.875 0.250
19 Ru 0.250 0.125 0.875
20 Ru 0.250 0.625 0.375
21 Ru 0.375 0.250 0.625
22 Ru 0.375 0.625 0.750
23 Ru 0.500 0.000 0.000
24 Ru 0.500 0.000 0.500
25 Ru 0.500 0.500 0.000
26 Ru 0.500 0.500 0.500
27 Ru 0.625 0.375 0.250
28 Ru 0.625 0.750 0.375
29 Ru 0.750 0.375 0.625
30 Ru 0.750 0.875 0.125
31 Ru 0.875 0.125 0.750
32 Ru 0.875 0.250 0.125
33 N 0.017 0.199 0.118
34 N 0.017 0.318 0.900
35 N 0.082 0.699 0.682
36 N 0.082 0.882 0.400
37 N 0.100 0.618 0.418
38 N 0.100 0.983 0.682
39 N 0.118 0.017 0.199
40 N 0.118 0.600 0.918
41 N 0.182 0.199 0.582
42 N 0.182 0.483 0.600
43 N 0.199 0.118 0.017
44 N 0.199 0.582 0.182
45 N 0.301 0.318 0.918
46 N 0.301 0.483 0.382
47 N 0.318 0.900 0.017
48 N 0.318 0.918 0.301
49 N 0.382 0.301 0.483
50 N 0.382 0.582 0.900
51 N 0.400 0.082 0.882
52 N 0.400 0.818 0.517
53 N 0.418 0.100 0.618
54 N 0.418 0.818 0.801
55 N 0.483 0.382 0.301
56 N 0.483 0.600 0.182
57 N 0.517 0.400 0.818
58 N 0.517 0.618 0.699
59 N 0.582 0.182 0.199
60 N 0.582 0.900 0.382
61 N 0.600 0.182 0.483
62 N 0.600 0.918 0.118
63 N 0.618 0.418 0.100
64 N 0.618 0.699 0.517
65 N 0.682 0.082 0.699
66 N 0.682 0.100 0.983
67 N 0.699 0.517 0.618
68 N 0.699 0.682 0.082
69 N 0.801 0.418 0.818
70 N 0.801 0.882 0.983
71 N 0.818 0.517 0.400
72 N 0.818 0.801 0.418
73 N 0.882 0.400 0.082
74 N 0.882 0.983 0.801
75 N 0.900 0.017 0.318
76 N 0.900 0.382 0.582
77 N 0.918 0.118 0.600
78 N 0.918 0.301 0.318
79 N 0.983 0.682 0.100
80 N 0.983 0.801 0.882

***

[11]
DFT (GGA-PBE) results for KInSi2 after structural relaxation.

Computed properties:
As for the formation energy (no corrections): 2.000 eV/f.u. For the volume, the calculation gives 24.9 A^3/atom.

abc: 9.678 9.678 9.678
angles: 20.77 20.77 20.77
Atoms (fractional coordinates):
1 K 0.000 0.000 0.000
2 In 0.500 0.500 0.500
3 Si 0.237 0.237 0.237
4 Si 0.763 0.763 0.763

***

[12]
DFT (GGA-PBE) results for Ti2MnC after structural relaxation.

Computed properties:
The calculation puts the formation energy at -0.07 eV/atom. For the volume, the calculation gives 13.7 A^3/atom.

abc: 5.727 5.727 5.727
angles: 96.10 96.10 141.94
Atoms (fractional coordinates):
1 Ti 0.375 0.020 0.145
2 Ti 0.770 0.625 0.645
3 Ti 0.875 0.230 0.855
4 Ti 0.980 0.125 0.355
5 Mn 0.250 0.750 0.500
6 Mn 0.500 0.500 0.000
7 C 0.000 0.000 0.000
8 C 0.750 0.250 0.500

***

[13]
DFT (GGA-PBE) results for Pm3Ag5O12 after structural relaxation.

Computed properties:
As for the formation energy (no corrections): -22.512 eV/f.u. For the volume, the calculation gives 14.4 A^3/atom.

abc: 11.447 11.447 11.447
angles: 109.47 109.47 109.47
Atoms (fractional coordinates):
1 Pm 0.125 0.250 0.375
2 Pm 0.125 0.375 0.750
3 Pm 0.250 0.375 0.125
4 Pm 0.250 0.875 0.625
5 Pm 0.375 0.125 0.250
6 Pm 0.375 0.750 0.125
7 Pm 0.625 0.250 0.875
8 Pm 0.625 0.875 0.750
9 Pm 0.750 0.125 0.375
10 Pm 0.750 0.625 0.875
11 Pm 0.875 0.625 0.250
12 Pm 0.875 0.750 0.625
13 Ag 0.000 0.000 0.000
14 Ag 0.000 0.000 0.500
15 Ag 0.000 0.500 0.000
16 Ag 0.000 0.500 0.500
17 Ag 0.125 0.750 0.875
18 Ag 0.125 0.875 0.250
19 Ag 0.250 0.125 0.875
20 Ag 0.250 0.625 0.375
21 Ag 0.375 0.250 0.625
22 Ag 0.375 0.625 0.750
23 Ag 0.500 0.000 0.000
24 Ag 0.500 0.000 0.500
25 Ag 0.500 0.500 0.000
26 Ag 0.500 0.500 0.500
27 Ag 0.625 0.375 0.250
28 Ag 0.625 0.750 0.375
29 Ag 0.750 0.375 0.625
30 Ag 0.750 0.875 0.125
31 Ag 0.875 0.125 0.750
32 Ag 0.875 0.250 0.125
33 O 0.044 0.208 0.132
34 O 0.044 0.336 0.912
35 O 0.076 0.708 0.664
36 O 0.076 0.868 0.412
37 O 0.088 0.632 0.424
38 O 0.088 0.956 0.664
39 O 0.132 0.044 0.208
40 O 0.132 0.588 0.924
41 O 0.164 0.208 0.576
42 O 0.164 0.456 0.588
43 O 0.208 0.132 0.044
44 O 0.208 0.576 0.164
45 O 0.292 0.336 0.924
46 O 0.292 0.456 0.368
47 O 0.336 0.912 0.044
48 O 0.336 0.924 0.292
49 O 0.368 0.292 0.456
50 O 0.368 0.576 0.912
51 O 0.412 0.076 0.868
52 O 0.412 0.836 0.544
53 O 0.424 0.088 0.632
54 O 0.424 0.836 0.792
55 O 0.456 0.368 0.292
56 O 0.456 0.588 0.164
57 O 0.544 0.412 0.836
58 O 0.544 0.632 0.708
59 O 0.576 0.164 0.208
60 O 0.576 0.912 0.368
61 O 0.588 0.164 0.456
62 O 0.588 0.924 0.132
63 O 0.632 0.424 0.088
64 O 0.632 0.708 0.544
65 O 0.664 0.076 0.708
66 O 0.664 0.088 0.956
67 O 0.708 0.544 0.632
68 O 0.708 0.664 0.076
69 O 0.792 0.424 0.836
70 O 0.792 0.868 0.956
71 O 0.836 0.544 0.412
72 O 0.836 0.792 0.424
73 O 0.868 0.412 0.076
74 O 0.868 0.956 0.792
75 O 0.912 0.044 0.336
76 O 0.912 0.368 0.576
77 O 0.924 0.132 0.588
78 O 0.924 0.292 0.336
79 O 0.956 0.664 0.088
80 O 0.956 0.792 0.868

***

[14]
DFT (GGA-PBE) results for Pr7Y4Tm after structural relaxation.

Computed properties:
For the energy above the lowest structure with this stoichiometry, the calculation gives 0 meV per atom. The calculation puts the formation energy at 0.13 eV/atom. For the volume, the calculation gives 34.9 A^3/atom.

abc: 6.259 7.115 10.069
angles: 110.62 92.32 90.05
Atoms (fractional coordinates):
1 Pr 0.000 0.000 0.000
2 Pr 0.197 0.710 0.418
3 Pr 0.258 0.534 0.068
4 Pr 0.272 0.190 0.377
5 Pr 0.728 0.810 0.623
6 Pr 0.742 0.466 0.932
7 Pr 0.803 0.290 0.582
8 Y 0.274 0.600 0.728
9 Y 0.276 0.128 0.728
10 Y 0.724 0.872 0.272
11 Y 0.726 0.400 0.272
12 Tm 0.500 0.000 0.000

***

[15]
DFT (GGA-PBE) results for MgRhF6 after structural relaxation.

Computed properties:
As for the formation energy (no corrections): -18.013 eV/f.u. For the volume, the calculation gives 13.2 A^3/atom.

abc: 5.448 5.448 5.448
angles: 56.56 56.56 56.56
Atoms (fractional coordinates):
1 Mg 0.000 0.000 0.000
2 Rh 0.500 0.500 0.500
3 F 0.133 0.377 0.744
4 F 0.256 0.867 0.623
5 F 0.377 0.744 0.133
6 F 0.623 0.256 0.867
7 F 0.744 0.133 0.377
8 F 0.867 0.623 0.256

***

[16]
DFT (GGA-PBE) results for ReSi2Os after structural relaxation.

Computed properties:
As for the formation energy (no corrections): 1.483 eV/f.u. For the volume, the calculation gives 14.3 A^3/atom.

abc: 2.764 2.764 8.362
angles: 90.00 90.00 116.14
Atoms (fractional coordinates):
1 Re 0.000 0.000 0.000
2 Si 0.000 0.000 0.507
3 Si 0.500 0.500 0.759
4 Os 0.500 0.500 0.275

***

[17]
DFT (GGA-PBE) results for AcDy7Er2 after structural relaxation.

Computed properties:
For the energy above the lowest structure with this stoichiometry, the calculation gives 462 meV per atom. The calculation puts the formation energy at 0.68 eV/atom. For the volume, the calculation gives 40.0 A^3/atom.

abc: 9.055 9.055 5.746
angles: 90.00 90.00 121.82
Atoms (fractional coordinates):
1 Ac 0.000 0.000 0.000
2 Dy 0.058 0.299 0.500
3 Dy 0.230 0.770 0.000
4 Dy 0.299 0.058 0.500
5 Dy 0.500 0.500 0.500
6 Dy 0.701 0.942 0.500
7 Dy 0.770 0.230 0.000
8 Dy 0.942 0.701 0.500
9 Er 0.297 0.703 0.500
10 Er 0.703 0.297 0.500

***

[18]
DFT (GGA-PBE) results for Tc4MoRh after structural relaxation.

Computed properties:
For the energy above the lowest structure with this stoichiometry, the calculation gives 145 meV per atom. The calculation puts the formation energy at 0.20 eV/atom. For the volume, the calculation gives 15.4 A^3/atom.

abc: 5.070 5.070 5.070
angles: 60.00 60.00 60.00
Atoms (fractional coordinates):
1 Tc 0.376 0.376 0.376
2 Tc 0.376 0.376 0.872
3 Tc 0.376 0.872 0.376
4 Tc 0.872 0.376 0.376
5 Mo 0.000 0.000 0.000
6 Rh 0.750 0.750 0.750